A relaxed structure of LiTbCu2, computed with PBE-GGA.

Unit cell a=3.346 b=3.346 c=6.219 alpha=90.00 beta=90.00 gamma=90.00
Fractional coordinates of all 4 atoms:
Li  0.000  0.000  0.000
Tb  0.000  0.000  0.500
Cu  0.500  0.500  0.204
Cu  0.500  0.500  0.796

Results
- SG = P4/mmm, No. 123
- energy relative to the elements (eV/f.u.) = -0.3
- energy above the most stable polymorph in this dataset (meV/atom) = 50
- DOS(E_F) (states/eV/atom) = 0.51
- total moment (μB/cell) = 0.00



A relaxed structure of SrAlBiBr2, computed with PBE-GGA.

Unit cell a=5.778 b=5.778 c=6.729 alpha=90.00 beta=90.00 gamma=90.00
Fractional coordinates of all 5 atoms:
Sr  0.000  0.000  0.000
Al  0.500  0.500  0.000
Bi  0.000  0.000  0.500
Br  0.000  0.500  0.500
Br  0.500  0.000  0.500

Results
- SG = P4/mmm, No. 123
- DOS(E_F) (states/eV/atom) = 0.61
- E_form (uncorrected) (eV/atom) = -0.024
- total moment (μB/cell) = 0.00



A relaxed structure of Y2Sn2Ge, computed with PBE-GGA.

Unit cell a=7.703 b=7.703 c=4.632 alpha=90.00 beta=90.00 gamma=90.00
Fractional coordinates of all 10 atoms:
Y  0.173  0.327  0.000
Y  0.327  0.827  0.000
Y  0.673  0.173  0.000
Y  0.827  0.673  0.000
Sn  0.136  0.636  0.500
Sn  0.364  0.136  0.500
Sn  0.636  0.864  0.500
Sn  0.864  0.364  0.500
Ge  0.000  0.000  0.000
Ge  0.500  0.500  0.000

Results
- SG = P4/mbm, No. 127
- energy relative to the elements (eV/f.u.) = -2.6
- energy above the most stable polymorph in this dataset (meV/atom) = 9
- DOS(E_F) (states/eV/atom) = 0.54
- total moment (μB/cell) = 0.00



What is the formula in the first record? LiTbCu2



What is the DOS(E_F) in the second record? 0.61 states/eV/atom